## Ac2CeC (PBE-GGA)

Data for crystalline Ac2CeC at its relaxed geometry.

## Properties
SG	R-3m, No. 166
energy of formation from the pure elements	1153.3	meV per atom

a = 4.005 Å, b = 4.005 Å, c = 32.260 Å
α = 90.00°, β = 90.00°, γ = 120.00°
Fractional coordinates of all 12 atoms:
Ac (0.000, 0.000, 0.073)
Ac (0.000, 0.000, 0.927)
Ac (0.333, 0.667, 0.594)
Ac (0.333, 0.667, 0.739)
Ac (0.667, 0.333, 0.261)
Ac (0.667, 0.333, 0.406)
Ce (0.000, 0.000, 0.500)
Ce (0.333, 0.667, 0.167)
Ce (0.667, 0.333, 0.833)
C (0.000, 0.000, 0.000)
C (0.333, 0.667, 0.667)
C (0.667, 0.333, 0.333)